(1)
VASP calculation (GGA-PBE) on a geometry-optimized AcPmNdBi structure.

Results
Density of states at the Fermi level, states/eV/cell: 12.39
Energy of formation from the pure elements, eV/atom: -0.22

Geometry as CIF:
```
data_AcPmNdBi
_chemical_formula_sum 'Ac4 Pm4 Nd4 Bi4'
_cell_length_a 8.1085
_cell_length_b 8.1085
_cell_length_c 8.1085
_cell_angle_alpha 90.00
_cell_angle_beta 90.00
_cell_angle_gamma 90.00
_symmetry_space_group_name_H-M 'F -4 3 m'
_symmetry_Int_Tables_number 216
_symmetry_space_group_name_Hall 'F -4 2 3'
loop_
_atom_site_label
_atom_site_type_symbol
_atom_site_fract_x
_atom_site_fract_y
_atom_site_fract_z
Ac1 Ac 0.0000 0.0000 0.0000
Pm1 Pm 0.2500 0.2500 0.2500
Nd1 Nd 0.2500 0.2500 0.7500
Bi1 Bi 0.0000 0.0000 0.5000
```

***

(2)
VASP calculation (GGA-PBE) on a geometry-optimized Ac2PmNdBi5 structure.

Results
Density of states at the Fermi level, states/eV/cell: 7.06
Energy of formation from the pure elements, eV/atom: -0.25

Geometry as CIF:
```
data_Ac2PmNdBi5
_chemical_formula_sum 'Ac2 Pm1 Nd1 Bi5'
_cell_length_a 5.6100
_cell_length_b 5.6100
_cell_length_c 12.2858
_cell_angle_alpha 90.00
_cell_angle_beta 90.00
_cell_angle_gamma 90.00
_symmetry_space_group_name_H-M 'P 4/m m m'
_symmetry_Int_Tables_number 123
_symmetry_space_group_name_Hall '-P 4 2'
loop_
_atom_site_label
_atom_site_type_symbol
_atom_site_fract_x
_atom_site_fract_y
_atom_site_fract_z
Ac1 Ac 0.0000 0.0000 0.2204
Pm1 Pm 0.5000 0.5000 0.5000
Nd1 Nd 0.5000 0.5000 0.0000
Bi1 Bi 0.0000 0.0000 0.5000
Bi2 Bi 0.0000 0.5000 0.0000
Bi3 Bi 0.5000 0.5000 0.2548
```

***

(3)
VASP calculation (GGA-PBE) on a geometry-optimized AcPmNd2Bi4 structure.

Results
Density of states at the Fermi level, states/eV/cell: 1.02
Energy of formation from the pure elements, eV/atom: -0.95

Geometry as CIF:
```
data_AcPmNd2Bi4
_chemical_formula_sum 'Ac1 Pm1 Nd2 Bi4'
_cell_length_a 8.0928
_cell_length_b 4.6752
_cell_length_c 8.0933
_cell_angle_alpha 90.00
_cell_angle_beta 109.42
_cell_angle_gamma 90.00
_symmetry_space_group_name_H-M 'P 1 2/m 1'
_symmetry_Int_Tables_number 10
_symmetry_space_group_name_Hall '-P 2y'
loop_
_atom_site_label
_atom_site_type_symbol
_atom_site_fract_x
_atom_site_fract_y
_atom_site_fract_z
Ac1 Ac 0.0000 0.0000 0.0000
Pm1 Pm 0.5000 0.5000 0.0000
Nd1 Nd 0.0000 0.5000 0.5000
Nd2 Nd 0.5000 0.0000 0.5000
Bi1 Bi 0.2560 0.0000 0.7466
Bi2 Bi 0.2603 0.5000 0.2591
```

***

(4)
VASP calculation (GGA-PBE) on a geometry-optimized AcPrNd2Bi4 structure.

Results
Density of states at the Fermi level, states/eV/cell: 1.02
Energy of formation from the pure elements, eV/atom: -0.95

Geometry as CIF:
```
data_AcPrNd2Bi4
_chemical_formula_sum 'Ac1 Pr1 Nd2 Bi4'
_cell_length_a 8.1172
_cell_length_b 4.6900
_cell_length_c 8.1194
_cell_angle_alpha 90.00
_cell_angle_beta 109.44
_cell_angle_gamma 90.00
_symmetry_space_group_name_H-M 'P 1 2/m 1'
_symmetry_Int_Tables_number 10
_symmetry_space_group_name_Hall '-P 2y'
loop_
_atom_site_label
_atom_site_type_symbol
_atom_site_fract_x
_atom_site_fract_y
_atom_site_fract_z
Ac1 Ac 0.0000 0.0000 0.0000
Pr1 Pr 0.0000 0.5000 0.5000
Nd1 Nd 0.5000 0.0000 0.5000
Nd2 Nd 0.5000 0.5000 0.0000
Bi1 Bi 0.2560 0.0000 0.7465
Bi2 Bi 0.2604 0.5000 0.2589
```

***

Question: Which formula does entry 3 have?
Answer: AcPmNd2Bi4

***

Question: density of states at the Fermi level of number 4 (AcPrNd2Bi4)?
Answer: 1.02 states/eV/cell

***

Question: Look up the density of states at the Fermi level of the first one.
Answer: 12.39 states/eV/cell